No. 1
An optimized crystal structure of Th6GeOs2Se3, computed with GGA-PBE.

abc: 7.2774 12.5770 7.5947
angles: 90.00 108.52 90.00
With the nearest neighbours (Å) after each atom.
Space group C2/m (No. 12)
One atom of each set of equivalent atoms:
Th: 0.2237 0.0000 0.2211 [4 per cell]  2 Os 2.86, 1 Ge 3.00, 3 Se 3.05-3.14
Th: 0.2503 0.1747 0.7773 [8 per cell]  2 Os 2.85, 1 Ge 3.01, 2 Se 3.11-3.18
Ge: 0.0000 0.5000 0.0000 [2 per cell]  6 Th 3.00-3.01
Os: 0.0000 0.1678 0.0000 [4 per cell]  6 Th 2.85-2.86
Se: 0.0000 0.0000 0.5000 [2 per cell]  6 Th 3.05-3.18
Se: 0.0000 0.3406 0.5000 [4 per cell]  6 Th 3.11-3.19

Computed properties:
magnetic moment: 0.0 μB/cell
raw total energy: -94.82 eV/f.u.
energy relative to the elements, uncorrected: -1.06 eV per atom



No. 2
An optimized crystal structure of Cr2FeHRu, computed with GGA-PBE.

abc: 3.6987 3.6987 3.7436
angles: 90.00 90.00 90.00
With the nearest neighbours (Å) after each atom.
Space group P4/mmm (No. 123)
One atom of each set of equivalent atoms:
Cr: 0.0000 0.5000 0.0000 [2 per cell]  2 H 1.85
Fe: 0.0000 0.0000 0.5000 [1 per cell]  4 Ru 2.62, 8 Cr 2.63
H: 0.5000 0.5000 0.0000 [1 per cell]  4 Cr 1.85, 2 Ru 1.87
Ru: 0.5000 0.5000 0.5000 [1 per cell]  2 H 1.87

Computed properties:
relative energy among the computed polymorphs: 27 meV per atom
magnetic moment: 0.7 μB/cell
raw total energy: -39.84 eV/f.u.



No. 3
An optimized crystal structure of Hf5Zr2Te4, computed with GGA-PBE.

abc: 24.6034 3.5155 6.8041
angles: 90.00 100.26 90.00
With the nearest neighbours (Å) after each atom.
Space group C2/m (No. 12)
One atom of each set of equivalent atoms:
Hf: 0.0000 0.0000 0.0000 [2 per cell]  4 Te 2.88, 4 Zr 3.09
Hf: 0.1987 0.5000 0.8878 [4 per cell]  5 Hf 2.92-3.23, 2 Te 3.10
Hf: 0.2240 0.5000 0.3231 [4 per cell]  5 Hf 2.92-3.12, 3 Te 2.97-3.03, 1 Zr 3.04
Zr: 0.0995 0.5000 0.1811 [4 per cell]  3 Te 2.92-3.01, 3 Hf 3.04-3.09
Te: 0.0523 0.5000 0.7555 [4 per cell]  2 Hf 2.88, 1 Zr 2.92
Te: 0.1529 0.0000 0.5207 [4 per cell]  5 Hf 2.97-3.10, 2 Zr 3.01

Computed properties:
magnetic moment: 0.0 μB/cell
raw total energy: -81.62 eV/f.u.
energy relative to the elements, uncorrected: -0.20 eV per atom



No. 4
An optimized crystal structure of Pr5TlPb2, computed with GGA-PBE.

abc: 8.5656 8.5656 14.4168
angles: 90.00 90.00 90.00
With the nearest neighbours (Å) after each atom.
Space group I4/mcm (No. 140)
One atom of each set of equivalent atoms:
Pr: 0.0000 0.0000 0.0000 [4 per cell]  4 Pb 3.32, 2 Tl 3.60
Pr: 0.1636 0.3364 0.1515 [16 per cell]  3 Pb 3.25-3.39, 2 Tl 3.50, 1 Pr 3.53
Tl: 0.0000 0.0000 0.2500 [4 per cell]  10 Pr 3.50-3.60
Pb: 0.1374 0.3626 0.5000 [8 per cell]  8 Pr 3.25-3.39, 1 Pb 3.33

Computed properties:
magnetic moment: 4.1 μB/cell
formation energy from the elements: -0.412 eV per atom
raw total energy: -36.97 eV/f.u.



- Which formula does entry 2 have?
  Cr2FeHRu



- Look up the raw total energy of the second one.
  -39.84 eV/f.u.